U2Mn7Al12 | PBE | relaxed

Computed properties:
Its space group is P-6 (174). The calculated density comes out at 6.3 Mg/m³. Its crystal system is hexagonal. The calculation puts the volume at 312.66 Å³ per cell. Its total energy is -133.65 eV for the cell shown. For the formation energy, the calculation gives -0.094 eV per atom. As for the density of states at the Fermi level: 0.7306 states/eV/atom.

Cell lengths 11.2299, 11.2299, 2.8628 Å; angles 90.00, 90.00, 120.00 degrees
Atoms (fractional coordinates):
U1 0.0000 0.0000 0.0000
U2 0.3333 0.6667 0.5000
Mn1 0.0955 0.4860 0.0000
Mn2 0.2086 0.1698 0.5000
Mn3 0.3906 0.9045 0.0000
Mn4 0.5140 0.6094 0.0000
Mn5 0.6667 0.3333 0.0000
Mn6 0.8302 0.0388 0.5000
Mn7 0.9612 0.7914 0.5000
Al1 0.0531 0.2819 0.5000
Al2 0.0966 0.7106 0.0000
Al3 0.2287 0.9469 0.5000
Al4 0.2894 0.3860 0.0000
Al5 0.4001 0.1769 0.0000
Al6 0.5294 0.4233 0.5000
Al7 0.5767 0.1061 0.5000
Al8 0.6140 0.9034 0.0000
Al9 0.7181 0.7713 0.5000
Al10 0.7768 0.5999 0.0000
Al11 0.8231 0.2232 0.0000
Al12 0.8939 0.4706 0.5000